Record 1
A geometry-optimized TlSbAu2 structure, computed with PBE.

Lattice parameters (Å, degrees): 4.8191 6.4120 7.1210 90.00 90.00 90.00
Space group Pmc2_1 (No. 26)
Symmetry-distinct sites (fractional):
Tl: 0.0000 0.2406 0.0000 [2 per cell]
Sb: 0.5000 0.1749 0.4220 [2 per cell]
Au: 0.0000 0.2715 0.5752 [2 per cell]
Au: 0.5000 0.5001 0.1838 [2 per cell]

Values from the calculation:
Formation energy without anion corrections = -0.068 eV/atom
Total energy = -3.3287 eV per atom

Record 2
A geometry-optimized InBMo2Pb structure, computed with PBE.

Lattice parameters (Å, degrees): 5.2966 5.2966 4.1137 90.00 90.00 90.00
Space group P4/mmm (No. 123)
Symmetry-distinct sites (fractional):
In: 0.0000 0.0000 0.0000 [1 per cell]
B: 0.5000 0.5000 0.0000 [1 per cell]
Mo: 0.0000 0.5000 0.5000 [2 per cell]
Pb: 0.5000 0.5000 0.5000 [1 per cell]

Values from the calculation:
Total energy = -4.6745 eV per atom